a.
Below is a relaxed CrSi2Cl crystal, with properties calculated at the PBE-GGA level.

Cell lengths 5.5433, 5.5433, 5.5433 Å; angles 151.72, 125.80, 62.25 degrees
Closest atoms and distances in Å follow each position.
Positions (direct):
Si  0.0310  0.0310  0.0000  2 Cr 2.45, 2 Si 2.71
Si  0.7783  0.2783  0.5000  4 Si 2.71-2.75, 4 Cr 2.88, 2 Cl 2.98
Cl  0.4446  0.4446  0.0000  2 Cr 2.32
Cr  0.2461  0.7461  0.5000  2 Cl 2.32, 2 Si 2.45

* total magnetic moment: 1.6 μB per cell

***

b.
Below is a relaxed CrSi2Cl crystal, with properties calculated at the PBE-GGA level.

Cell lengths 3.9547, 3.9547, 8.0524 Å; angles 75.81, 75.81, 43.80 degrees
Closest atoms and distances in Å follow each position.
Positions (direct):
Cr  0.2013  0.2013  0.1923  2 Cl 2.28, 3 Si 2.45-2.55
Cl  0.5981  0.5981  0.4127  2 Cr 2.28
Si  0.9688  0.9688  0.0223  3 Si 2.36-2.47, 3 Cr 2.45-2.55
Si  0.7318  0.7318  0.8727  3 Si 2.36-2.47

* total magnetic moment: 2.3 μB per cell

***

Among the structures above, stability is smallest for a.